Here is an optimized crystal structure of Ca2ScSi2Rh5 from the Alexandria database. Energies are from PBE.

Lattice parameters (Å, degrees): 3.2846 10.1444 10.1444 90.00 90.00 90.00
Atoms (fractional coordinates):
Rh1 0.5000 0.5689 0.7146
Rh2 0.5000 0.4311 0.2854
Sc1 0.0000 0.5000 0.5000
Ca1 0.0000 0.8266 0.6734
Sc2 0.0000 0.0000 0.0000
Rh3 0.5000 0.5000 0.0000
Si1 0.0000 0.6260 0.8740
Si2 0.0000 0.8740 0.3740
Rh4 0.5000 0.2146 0.0689
Rh5 0.5000 0.9311 0.2146
Ca2 0.0000 0.1734 0.3266
Rh6 0.5000 0.7146 0.4311
Si3 0.0000 0.3740 0.1260
Ca3 0.0000 0.3266 0.8266
Rh7 0.5000 0.7854 0.9311
Rh8 0.5000 0.2854 0.5689
Rh9 0.5000 0.0689 0.7854
Ca4 0.0000 0.6734 0.1734
Rh10 0.5000 0.0000 0.5000
Si4 0.0000 0.1260 0.6260

Properties
ΔE_f (raw) ... -8.45 eV per formula unit
Size of the total moment ... 0.0 Bohr magnetons per cell
SG ... P4/mbm (127)